Below is a relaxed structure of IrRh2Pb, with properties calculated at the GGA-PBE level.

Lattice parameters (Å, degrees): 2.926 3.842 5.943 90.00 90.00 90.00
Space group Pmmm (No. 47)
One atom of each set of equivalent atoms:
Ir 0.000 0.000 0.000 (multiplicity 1)
Rh 0.500 0.500 0.222 (multiplicity 2)
Pb 0.000 0.000 0.500 (multiplicity 1)

Calculated values
Energy of formation ... 0.2309 eV/atom

=====

Below is a relaxed structure of KY4Rh, with properties calculated at the GGA-PBE level.

Lattice parameters (Å, degrees): 9.157 9.157 9.157 90.00 90.00 90.00
Space group F-43m (No. 216)
One atom of each set of equivalent atoms:
K 0.000 0.000 0.000 (multiplicity 4)
Y 0.123 0.123 0.377 (multiplicity 16)
Rh 0.250 0.250 0.750 (multiplicity 4)

Calculated values
Energy of formation ... 0.7554 eV/atom